(1)
Here is crystalline LiAl2 at its relaxed geometry from Alexandria. Energies are from GGA-PBE. Values from VASP.

Quantum ESPRESSO input file:
```
&SYSTEM
  ibrav = 0, nat = 6, ntyp = 2
/
ATOMIC_SPECIES
Li 6.94 Li.upf
Al 26.98 Al.upf
ATOMIC_POSITIONS angstrom
Li -4.063 -10.082 1.020
Li -2.020 -3.058 2.132
Al -3.835 -12.059 3.014
Al -3.714 -7.591 2.286
Al -2.248 -1.081 0.138
Al -2.370 -5.549 0.865
CELL_PARAMETERS angstrom
-0.998 0.454 2.689
-1.865 -0.318 -2.204
-3.220 -13.276 2.666
```

Values from the calculation:
total energy = -3.206 eV/atom
space group = C2/c (15)
ΔH_f (0 K) = -72.8 meV/atom
mass density = 2.04 g/cm3


(2)
Here is crystalline PtS2O at its relaxed geometry from Alexandria. Energies are from GGA-PBE. Values from VASP.

Quantum ESPRESSO input file:
```
&SYSTEM
  ibrav = 0, nat = 4, ntyp = 3
/
ATOMIC_SPECIES
S 32.06 S.upf
O 16.00 O.upf
Pt 195.08 Pt.upf
ATOMIC_POSITIONS angstrom
S -10.919 6.458 10.134
S -1.225 0.724 1.137
O 0.000 0.000 0.000
Pt -6.072 3.591 5.635
CELL_PARAMETERS angstrom
-4.370 0.478 4.630
-2.550 3.687 4.547
-5.223 3.018 2.093
```

Values from the calculation:
total energy = -4.916 eV/atom
space group = R-3m (166)
mass density = 6.44 g/cm3


(3)
Here is crystalline NaYBe2 at its relaxed geometry from Alexandria. Energies are from GGA-PBE. Values from VASP.

Quantum ESPRESSO input file:
```
&SYSTEM
  ibrav = 0, nat = 4, ntyp = 3
/
ATOMIC_SPECIES
Y 88.91 Y.upf
Na 22.99 Na.upf
Be 9.01 Be.upf
ATOMIC_POSITIONS angstrom
Y 3.345 3.345 3.345
Na 0.000 0.000 0.000
Be 1.673 1.673 1.673
Be 5.018 5.018 5.018
CELL_PARAMETERS angstrom
0.000 3.345 3.345
3.345 0.000 3.345
3.345 3.345 0.000
```

Values from the calculation:
total energy = -3.304 eV/atom
space group = Fm-3m (225)
ΔH_f (0 K) = 505.3 meV/atom
mass density = 2.88 g/cm3


(4)
Here is crystalline Pm3Sn2H at its relaxed geometry from Alexandria. Energies are from GGA-PBE. Values from VASP.

Quantum ESPRESSO input file:
```
&SYSTEM
  ibrav = 0, nat = 12, ntyp = 3
/
ATOMIC_SPECIES
Pm 145.00 Pm.upf
Sn 118.71 Sn.upf
H 1.01 H.upf
ATOMIC_POSITIONS angstrom
Pm -1.694 -2.626 -0.353
Pm -3.899 -6.685 0.913
Pm -1.277 0.551 1.479
Pm -5.047 -0.464 0.143
Pm -3.338 -3.363 2.986
Pm -7.109 -4.379 1.649
Sn -4.453 -3.907 -0.288
Sn -2.350 0.050 -1.724
Sn -6.036 -3.877 4.852
Sn -3.933 0.079 3.417
H -4.903 -7.698 -0.764
H -0.689 -1.613 1.323
CELL_PARAMETERS angstrom
-2.926 -2.950 -4.882
-2.667 -6.361 5.442
-2.793 5.483 2.569
```

Values from the calculation:
total energy = -4.898 eV/atom
space group = C2/c (15)
mass density = 7.04 g/cm3


(5)
Here is crystalline Ac2PuGe6 at its relaxed geometry from Alexandria. Energies are from GGA-PBE. Values from VASP.

Quantum ESPRESSO input file:
```
&SYSTEM
  ibrav = 0, nat = 9, ntyp = 3
/
ATOMIC_SPECIES
Ac 227.00 Ac.upf
Pu 244.00 Pu.upf
Ge 72.64 Ge.upf
ATOMIC_POSITIONS angstrom
Ac -5.988 -2.943 0.840
Ac -1.878 -0.027 1.499
Pu -0.601 -3.484 -0.817
Ge -3.812 -4.085 -1.335
Ge -4.053 1.115 3.674
Ge -4.460 -1.239 3.122
Ge -1.505 -0.622 -1.897
Ge -2.286 -5.145 -2.958
Ge -3.406 -1.732 -0.783
CELL_PARAMETERS angstrom
-2.588 1.202 -3.220
-1.203 -6.969 -1.634
-4.075 2.796 7.193
```

Values from the calculation:
total energy = -6.010 eV/atom
space group = Immm (71)
ΔH_f (0 K) = -426.6 meV/atom
mass density = 7.89 g/cm3


(6)
Here is crystalline TmIr2O6 at its relaxed geometry from Alexandria. Energies are from GGA-PBE. Values from VASP.

Quantum ESPRESSO input file:
```
&SYSTEM
  ibrav = 0, nat = 9, ntyp = 3
/
ATOMIC_SPECIES
Tm 168.93 Tm.upf
Ir 192.22 Ir.upf
O 16.00 O.upf
ATOMIC_POSITIONS angstrom
Tm 0.000 0.000 0.000
Ir 2.378 3.020 0.000
Ir 2.378 1.510 2.615
O 3.455 2.923 1.688
O 1.301 2.923 3.542
O 1.301 4.529 0.760
O 3.455 1.606 -0.927
O 1.301 1.606 0.927
O 3.455 0.000 1.855
CELL_PARAMETERS angstrom
4.756 0.000 0.000
0.000 4.529 -2.615
0.000 0.000 5.230
```

Values from the calculation:
total energy = -7.250 eV/atom
space group = P-31m (162)
mass density = 9.57 g/cm3


(7)
Here is crystalline MnPb2Br at its relaxed geometry from Alexandria. Energies are from GGA-PBE. Values from VASP.

Quantum ESPRESSO input file:
```
&SYSTEM
  ibrav = 0, nat = 4, ntyp = 3
/
ATOMIC_SPECIES
Br 79.90 Br.upf
Mn 54.94 Mn.upf
Pb 207.20 Pb.upf
ATOMIC_POSITIONS angstrom
Br 1.024 2.742 1.669
Mn 2.927 0.001 1.669
Pb 0.000 0.000 0.000
Pb 3.951 2.744 0.000
CELL_PARAMETERS angstrom
5.855 0.003 0.000
2.048 5.485 0.000
-3.951 -2.744 3.337
```

Values from the calculation:
total energy = -4.275 eV/atom
space group = I4/mmm (139)
mass density = 8.51 g/cm3


(8)
Here is crystalline K2NaHg4 at its relaxed geometry from Alexandria. Energies are from GGA-PBE. Values from VASP.

Quantum ESPRESSO input file:
```
&SYSTEM
  ibrav = 0, nat = 7, ntyp = 3
/
ATOMIC_SPECIES
Na 22.99 Na.upf
K 39.10 K.upf
Hg 200.59 Hg.upf
ATOMIC_POSITIONS angstrom
Na 0.000 0.000 0.000
K 2.839 2.839 2.342
K 0.000 0.000 6.546
Hg 2.839 2.839 5.828
Hg 0.000 0.000 3.060
Hg 0.000 2.839 0.000
Hg 2.839 0.000 0.000
CELL_PARAMETERS angstrom
5.678 0.000 0.000
0.000 5.678 0.000
-2.839 -2.839 8.888
```

Values from the calculation:
total energy = -0.776 eV/atom
space group = I4/mmm (139)
ΔH_f (0 K) = -101.6 meV/atom
mass density = 5.24 g/cm3


(9)
Here is crystalline AgBi2Au at its relaxed geometry from Alexandria. Energies are from GGA-PBE. Values from VASP.

Quantum ESPRESSO input file:
```
&SYSTEM
  ibrav = 0, nat = 4, ntyp = 3
/
ATOMIC_SPECIES
Ag 107.87 Ag.upf
Bi 208.98 Bi.upf
Au 196.97 Au.upf
ATOMIC_POSITIONS angstrom
Ag 4.533 2.617 3.017
Bi 2.267 1.309 4.700
Bi 2.267 1.309 1.431
Au 4.533 2.617 0.031
CELL_PARAMETERS angstrom
4.533 0.000 0.000
2.267 3.926 0.000
2.267 1.309 6.120
```

Values from the calculation:
total energy = -3.405 eV/atom
space group = R3m (160)
ΔH_f (0 K) = 67.3 meV/atom
mass density = 11.02 g/cm3


(10)
Here is crystalline SrCaCl2 at its relaxed geometry from Alexandria. Energies are from GGA-PBE. Values from VASP.

Quantum ESPRESSO input file:
```
&SYSTEM
  ibrav = 0, nat = 4, ntyp = 3
/
ATOMIC_SPECIES
Sr 87.62 Sr.upf
Ca 40.08 Ca.upf
Cl 35.45 Cl.upf
ATOMIC_POSITIONS angstrom
Sr 1.846 1.846 2.791
Ca 1.846 1.846 8.372
Cl 0.000 0.000 1.182
Cl 0.000 0.000 4.399
CELL_PARAMETERS angstrom
3.693 0.000 0.000
0.000 3.693 0.000
0.000 0.000 11.163
```

Values from the calculation:
total energy = -3.315 eV/atom
space group = P4/mmm (123)
mass density = 2.17 g/cm3


(11)
Here is crystalline Dy3Al3Ga8 at its relaxed geometry from Alexandria. Energies are from GGA-PBE. Values from VASP.

Quantum ESPRESSO input file:
```
&SYSTEM
  ibrav = 0, nat = 14, ntyp = 3
/
ATOMIC_SPECIES
Dy 162.50 Dy.upf
Al 26.98 Al.upf
Ga 69.72 Ga.upf
ATOMIC_POSITIONS angstrom
Dy -6.463 -2.608 3.283
Dy -4.620 0.453 1.325
Dy -8.306 -5.668 5.241
Al -1.770 1.123 0.089
Al -5.512 -4.825 0.713
Al -3.874 -2.636 5.676
Ga -4.858 -0.200 4.834
Ga -8.068 -5.016 1.732
Ga -6.449 -2.327 0.012
Ga -6.477 -2.888 6.554
Ga -9.557 -3.565 3.289
Ga -3.369 -1.650 3.277
Ga -8.829 -2.592 5.495
Ga -4.097 -2.623 1.072
CELL_PARAMETERS angstrom
-3.540 2.246 0.178
-6.118 -5.636 -1.124
-3.268 -1.825 7.513
```

Values from the calculation:
total energy = -3.942 eV/atom
space group = Immm (71)
ΔH_f (0 K) = -424.6 meV/atom
mass density = 6.99 g/cm3


(12)
Here is crystalline NdTmIn4 at its relaxed geometry from Alexandria. Energies are from GGA-PBE. Values from VASP.

Quantum ESPRESSO input file:
```
&SYSTEM
  ibrav = 0, nat = 24, ntyp = 3
/
ATOMIC_SPECIES
Nd 144.24 Nd.upf
Tm 168.93 Tm.upf
In 114.82 In.upf
ATOMIC_POSITIONS angstrom
Nd -7.893 -4.268 -0.202
Nd -8.711 -8.109 3.188
Nd -1.783 -1.737 0.730
Nd -14.820 -10.640 2.257
Tm -5.851 -0.295 -3.028
Tm -10.752 -12.081 6.015
Tm -4.454 -5.625 3.114
Tm -12.149 -6.751 -0.128
In -8.967 -0.545 -1.902
In -8.927 -9.552 7.160
In -5.661 -2.690 2.130
In -12.233 -7.407 3.128
In -8.271 1.734 -3.794
In -9.623 -11.831 9.052
In -7.598 -4.803 3.149
In -10.296 -5.293 2.109
In -11.262 -3.586 -0.153
In -6.632 -6.510 5.411
In -4.239 0.469 -0.232
In -13.655 -10.565 5.490
In -3.115 -2.753 3.640
In -14.779 -7.343 1.618
In -6.729 -1.122 -0.051
In -11.165 -8.975 5.309
CELL_PARAMETERS angstrom
-1.291 2.280 2.272
-8.502 1.137 -5.972
-8.101 -13.514 8.959
```

Values from the calculation:
total energy = -3.675 eV/atom
space group = Pbam (55)
ΔH_f (0 K) = -309.9 meV/atom
mass density = 7.81 g/cm3